1.
The following is a PBE-GGA calculation of a relaxed structure of MgBeSN2, from Alexandria.

Calculated values
D(E_F)   1.65 states/eV/cell
Space-group type   No. 123
Offset from the most stable computed form   979.7 meV/atom

a = 3.745 Å, b = 3.745 Å, c = 5.265 Å
α = 90.00°, β = 90.00°, γ = 90.00°
Site moments in Bohr magnetons follow the coordinates.
Atoms (fractional coordinates):
Be 0.500 0.500 0.500  -0.02
S 0.000 0.000 0.500  0.20
Mg 0.000 0.000 0.000  -0.01
N 0.000 0.500 0.000  0.71
N 0.500 0.000 0.000  0.71

2.
The following is a PBE-GGA calculation of a relaxed structure of MgBeSN2, from Alexandria.

Calculated values
D(E_F)   2.91 states/eV/cell
Space-group type   No. 123
Offset from the most stable computed form   0.0 meV/atom

a = 3.456 Å, b = 3.456 Å, c = 5.278 Å
α = 90.00°, β = 90.00°, γ = 90.00°
Site moments in Bohr magnetons follow the coordinates.
Atoms (fractional coordinates):
Be 0.000 0.000 0.000  -0.01
S 0.000 0.000 0.500  0.20
Mg 0.500 0.500 0.500  0.00
N 0.000 0.500 0.000  0.52
N 0.500 0.000 0.000  0.52

3.
The following is a PBE-GGA calculation of a relaxed structure of MgBeSeN2, from Alexandria.

Calculated values
D(E_F)   2.17 states/eV/cell
Space-group type   No. 123
Offset from the most stable computed form   772.4 meV/atom

a = 3.914 Å, b = 3.914 Å, c = 5.702 Å
α = 90.00°, β = 90.00°, γ = 90.00°
Site moments in Bohr magnetons follow the coordinates.
Atoms (fractional coordinates):
Be 0.500 0.500 0.500  -0.01
Mg 0.000 0.000 0.000  -0.01
Se 0.000 0.000 0.500  0.17
N 0.000 0.500 0.000  1.13
N 0.500 0.000 0.000  1.13

4.
The following is a PBE-GGA calculation of a relaxed structure of MgBeSeN2, from Alexandria.

Calculated values
D(E_F)   2.41 states/eV/cell
Space-group type   No. 123
Offset from the most stable computed form   0.0 meV/atom

a = 3.551 Å, b = 3.551 Å, c = 5.358 Å
α = 90.00°, β = 90.00°, γ = 90.00°
Site moments in Bohr magnetons follow the coordinates.
Atoms (fractional coordinates):
Be 0.000 0.000 0.000  -0.01
Mg 0.500 0.500 0.500  0.00
Se 0.000 0.000 0.500  0.17
N 0.000 0.500 0.000  0.49
N 0.500 0.000 0.000  0.49

5.
The following is a PBE-GGA calculation of a relaxed structure of MgTaBeN3, from Alexandria.

Calculated values
Space-group type   No. 11

a = 3.064 Å, b = 6.078 Å, c = 7.517 Å
α = 103.84°, β = 90.00°, γ = 90.00°
Atoms (fractional coordinates):
Mg 0.250 0.165 0.144
Mg 0.750 0.835 0.856
Ta 0.250 0.665 0.183
Ta 0.750 0.335 0.817
Be 0.250 0.053 0.605
Be 0.750 0.947 0.395
N 0.750 0.912 0.157
N 0.250 0.088 0.843
N 0.250 0.814 0.439
N 0.750 0.186 0.561
N 0.750 0.428 0.144
N 0.250 0.572 0.856

6.
The following is a PBE-GGA calculation of a relaxed structure of Mg2TaBeN4, from Alexandria.

Calculated values
D(E_F)   9.67 states/eV/cell
Space-group type   No. 31

a = 4.447 Å, b = 6.059 Å, c = 6.757 Å
α = 90.00°, β = 90.00°, γ = 90.00°
Site moments in Bohr magnetons follow the coordinates.
Atoms (fractional coordinates):
Mg 0.445 0.342 0.253  0.00
Mg 0.445 0.342 0.747  0.00
Mg 0.945 0.658 0.753  0.00
Mg 0.945 0.658 0.247  0.00
Ta 0.460 0.854 0.500  -0.02
Ta 0.960 0.146 0.000  -0.02
Be 0.989 0.169 0.500  0.00
Be 0.489 0.831 0.000  0.00
N 0.418 0.131 0.000  0.12
N 0.918 0.869 0.500  0.12
N 0.385 0.164 0.500  0.10
N 0.885 0.836 0.000  0.10
N 0.430 0.693 0.760  0.11
N 0.930 0.307 0.260  0.11
N 0.930 0.307 0.740  0.11
N 0.430 0.693 0.240  0.11

7.
The following is a PBE-GGA calculation of a relaxed structure of MgBeTeN2, from Alexandria.

Calculated values
D(E_F)   2.27 states/eV/cell
Space-group type   No. 123
Offset from the most stable computed form   435.6 meV/atom

a = 4.007 Å, b = 4.007 Å, c = 6.278 Å
α = 90.00°, β = 90.00°, γ = 90.00°
Site moments in Bohr magnetons follow the coordinates.
Atoms (fractional coordinates):
Be 0.500 0.500 0.500  -0.02
Mg 0.000 0.000 0.000  -0.01
Te 0.000 0.000 0.500  0.14
N 0.000 0.500 0.000  1.27
N 0.500 0.000 0.000  1.27

8.
The following is a PBE-GGA calculation of a relaxed structure of MgBeTeN2, from Alexandria.

Calculated values
D(E_F)   2.93 states/eV/cell
Space-group type   No. 123
Offset from the most stable computed form   0.0 meV/atom

a = 3.749 Å, b = 3.749 Å, c = 5.397 Å
α = 90.00°, β = 90.00°, γ = 90.00°
Site moments in Bohr magnetons follow the coordinates.
Atoms (fractional coordinates):
Be 0.000 0.000 0.000  -0.01
Mg 0.500 0.500 0.500  0.00
Te 0.000 0.000 0.500  0.10
N 0.000 0.500 0.000  0.36
N 0.500 0.000 0.000  0.36

Number 1: total energy -18.5 eV per cell. Number 2: total energy -23.4 eV per cell. Number 3: total energy -18.2 eV per cell. Number 4: total energy -22.1 eV per cell. Number 5: total energy -95.8 eV per cell. Number 6: total energy -116.3 eV per cell. Number 7: total energy -17.9 eV per cell. Number 8: total energy -20.1 eV per cell.